1.
DFT (GGA-PBE) results for crystalline CeNpPaGa at its relaxed geometry. Values from VASP.

- SG = F-43m
- VASP energy (eV per atom) = -7.81
- energy relative to the elements (meV per atom) = 36

Quantum ESPRESSO input file:
```
&SYSTEM
  ibrav = 0, nat = 4, ntyp = 4
/
ATOMIC_SPECIES
Ce 140.12 Ce.upf
Np 237.00 Np.upf
Pa 231.04 Pa.upf
Ga 69.72 Ga.upf
ATOMIC_POSITIONS crystal
Ce 0.0000 0.0000 0.0000
Np 0.7500 0.7500 0.7500
Pa 0.5000 0.5000 0.5000
Ga 0.2500 0.2500 0.2500
CELL_PARAMETERS angstrom
0.0000 3.5710 3.5710
3.5710 0.0000 3.5710
3.5710 3.5710 0.0000
```



2.
DFT (GGA-PBE) results for crystalline CePuNpGa at its relaxed geometry. Values from VASP.

- SG = F-43m
- VASP energy (eV per atom) = -8.98
- energy relative to the elements (meV per atom) = 76

Quantum ESPRESSO input file:
```
&SYSTEM
  ibrav = 0, nat = 4, ntyp = 4
/
ATOMIC_SPECIES
Ce 140.12 Ce.upf
Pu 244.00 Pu.upf
Np 237.00 Np.upf
Ga 69.72 Ga.upf
ATOMIC_POSITIONS crystal
Ce 0.0000 0.0000 0.0000
Pu 0.5000 0.5000 0.5000
Np 0.7500 0.7500 0.7500
Ga 0.2500 0.2500 0.2500
CELL_PARAMETERS angstrom
0.0000 3.6072 3.6072
3.6072 0.0000 3.6072
3.6072 3.6072 0.0000
```



3.
DFT (GGA-PBE) results for crystalline Ce2NpGa2Ru5 at its relaxed geometry. Values from VASP.

- SG = P4/mbm
- VASP energy (eV per atom) = -8.05
- energy relative to the elements (meV per atom) = -329

Quantum ESPRESSO input file:
```
&SYSTEM
  ibrav = 0, nat = 20, ntyp = 4
/
ATOMIC_SPECIES
Ce 140.12 Ce.upf
Np 237.00 Np.upf
Ga 69.72 Ga.upf
Ru 101.07 Ru.upf
ATOMIC_POSITIONS crystal
Ce 0.1688 0.3312 0.0000
Ce 0.3312 0.8312 0.0000
Ce 0.6688 0.1688 0.0000
Ce 0.8312 0.6688 0.0000
Np 0.0000 0.0000 0.0000
Np 0.5000 0.5000 0.0000
Ga 0.1271 0.6271 0.0000
Ga 0.3729 0.1271 0.0000
Ga 0.6271 0.8729 0.0000
Ga 0.8729 0.3729 0.0000
Ru 0.0000 0.5000 0.5000
Ru 0.0701 0.7990 0.5000
Ru 0.2010 0.0701 0.5000
Ru 0.2990 0.5701 0.5000
Ru 0.4299 0.2990 0.5000
Ru 0.5000 0.0000 0.5000
Ru 0.5701 0.7010 0.5000
Ru 0.7010 0.4299 0.5000
Ru 0.7990 0.9299 0.5000
Ru 0.9299 0.2010 0.5000
CELL_PARAMETERS angstrom
10.0663 0.0000 0.0000
0.0000 10.0663 0.0000
0.0000 0.0000 3.5361
```



4.
DFT (GGA-PBE) results for crystalline Ce6Ga2O at its relaxed geometry. Values from VASP.

- SG = I4/mmm
- VASP energy (eV per atom) = -5.97
- uncorrected formation energy (eV/atom) = -0.792

Quantum ESPRESSO input file:
```
&SYSTEM
  ibrav = 0, nat = 9, ntyp = 3
/
ATOMIC_SPECIES
Ce 140.12 Ce.upf
Ga 69.72 Ga.upf
O 16.00 O.upf
ATOMIC_POSITIONS crystal
Ce 0.2347 0.2347 0.0000
Ce 0.2764 0.2764 0.5529
Ce 0.2764 0.7236 0.0000
Ce 0.7236 0.2764 0.0000
Ce 0.7236 0.7236 0.4471
Ce 0.7653 0.7653 0.0000
Ga 0.2500 0.7500 0.5000
Ga 0.7500 0.2500 0.5000
O 0.0000 0.0000 0.0000
CELL_PARAMETERS angstrom
-3.1983 3.1983 5.0179
3.1983 -3.1983 5.0179
3.1983 3.1983 -5.0179
```



5.
DFT (GGA-PBE) results for crystalline Ce4Ga2O at its relaxed geometry. Values from VASP.

- SG = I4/mmm
- VASP energy (eV per atom) = -5.95
- uncorrected formation energy (eV/atom) = -0.987

Quantum ESPRESSO input file:
```
&SYSTEM
  ibrav = 0, nat = 7, ntyp = 3
/
ATOMIC_SPECIES
Ce 140.12 Ce.upf
Ga 69.72 Ga.upf
O 16.00 O.upf
ATOMIC_POSITIONS crystal
Ce 0.0000 0.5000 0.5000
Ce 0.1712 0.1712 0.0000
Ce 0.5000 0.0000 0.5000
Ce 0.8288 0.8288 0.0000
Ga 0.3668 0.3668 0.0000
Ga 0.6332 0.6332 0.0000
O 0.0000 0.0000 0.0000
CELL_PARAMETERS angstrom
-2.3669 2.3669 7.7145
2.3669 -2.3669 7.7145
2.3669 2.3669 -7.7145
```



6.
DFT (GGA-PBE) results for crystalline Ce3GaO at its relaxed geometry. Values from VASP.

- SG = Imma
- VASP energy (eV per atom) = -6.40
- uncorrected formation energy (eV/atom) = -1.239

Quantum ESPRESSO input file:
```
&SYSTEM
  ibrav = 0, nat = 10, ntyp = 3
/
ATOMIC_SPECIES
Ce 140.12 Ce.upf
Ga 69.72 Ga.upf
O 16.00 O.upf
ATOMIC_POSITIONS crystal
Ce 0.0742 0.8242 0.2500
Ce 0.3002 0.0502 0.2500
Ce 0.4375 0.6875 0.7500
Ce 0.5625 0.3125 0.2500
Ce 0.6998 0.9498 0.7500
Ce 0.9258 0.1758 0.7500
Ga 0.1836 0.4336 0.7500
Ga 0.8164 0.5664 0.2500
O 0.4312 0.1812 0.2500
O 0.5688 0.8188 0.7500
CELL_PARAMETERS angstrom
-2.3790 2.3946 9.7393
2.3790 -2.3946 9.7393
2.3790 2.3946 -9.7393
```



7.
DFT (GGA-PBE) results for crystalline CeGaO3 at its relaxed geometry. Values from VASP.

- SG = Pm-3m
- VASP energy (eV per atom) = -7.24
- uncorrected formation energy (eV/atom) = -2.473

Quantum ESPRESSO input file:
```
&SYSTEM
  ibrav = 0, nat = 5, ntyp = 3
/
ATOMIC_SPECIES
Ce 140.12 Ce.upf
Ga 69.72 Ga.upf
O 16.00 O.upf
ATOMIC_POSITIONS crystal
Ce 0.0000 0.0000 0.0000
Ga 0.5000 0.5000 0.5000
O 0.0000 0.5000 0.5000
O 0.5000 0.0000 0.5000
O 0.5000 0.5000 0.0000
CELL_PARAMETERS angstrom
3.8926 0.0000 0.0000
0.0000 3.8926 0.0000
0.0000 0.0000 3.8926
```



8.
DFT (GGA-PBE) results for crystalline CeGaO3 at its relaxed geometry. Values from VASP.

- SG = Cmmm
- VASP energy (eV per atom) = -7.18
- uncorrected formation energy (eV/atom) = -2.417

Quantum ESPRESSO input file:
```
&SYSTEM
  ibrav = 0, nat = 10, ntyp = 3
/
ATOMIC_SPECIES
Ce 140.12 Ce.upf
Ga 69.72 Ga.upf
O 16.00 O.upf
ATOMIC_POSITIONS crystal
Ce 0.1479 0.8521 0.0000
Ce 0.8521 0.1479 0.0000
Ga 0.3822 0.6178 0.5000
Ga 0.6178 0.3822 0.5000
O 0.0000 0.5000 0.5000
O 0.2361 0.2361 0.5000
O 0.3531 0.6469 0.0000
O 0.5000 0.0000 0.5000
O 0.6469 0.3531 0.0000
O 0.7639 0.7639 0.5000
CELL_PARAMETERS angstrom
2.7347 -5.7814 0.0000
2.7347 5.7814 0.0000
0.0000 0.0000 3.7985
```



9.
DFT (GGA-PBE) results for crystalline CeGaO3 at its relaxed geometry. Values from VASP.

- SG = Pnma
- VASP energy (eV per atom) = -7.33
- uncorrected formation energy (eV/atom) = -2.561

Quantum ESPRESSO input file:
```
&SYSTEM
  ibrav = 0, nat = 20, ntyp = 3
/
ATOMIC_SPECIES
Ce 140.12 Ce.upf
Ga 69.72 Ga.upf
O 16.00 O.upf
ATOMIC_POSITIONS crystal
Ce 0.0422 0.2500 0.0107
Ce 0.4578 0.7500 0.5107
Ce 0.5422 0.2500 0.4893
Ce 0.9578 0.7500 0.9893
Ga 0.0000 0.0000 0.5000
Ga 0.0000 0.5000 0.5000
Ga 0.5000 0.0000 0.0000
Ga 0.5000 0.5000 0.0000
O 0.0197 0.7500 0.4178
O 0.2072 0.5432 0.7920
O 0.2072 0.9568 0.7920
O 0.2928 0.0432 0.2920
O 0.2928 0.4568 0.2920
O 0.4803 0.2500 0.9178
O 0.5197 0.7500 0.0822
O 0.7072 0.5432 0.7080
O 0.7072 0.9568 0.7080
O 0.7928 0.0432 0.2080
O 0.7928 0.4568 0.2080
O 0.9803 0.2500 0.5822
CELL_PARAMETERS angstrom
5.5918 0.0000 0.0000
0.0000 7.8671 0.0000
0.0000 0.0000 5.4904
```



10.
DFT (GGA-PBE) results for crystalline Ce5Ga2O12 at its relaxed geometry. Values from VASP.

- SG = C2/m
- VASP energy (eV per atom) = -8.02
- uncorrected formation energy (eV/atom) = -3.013

Quantum ESPRESSO input file:
```
&SYSTEM
  ibrav = 0, nat = 19, ntyp = 3
/
ATOMIC_SPECIES
Ce 140.12 Ce.upf
Ga 69.72 Ga.upf
O 16.00 O.upf
ATOMIC_POSITIONS crystal
Ce 0.0000 0.0000 0.0000
Ce 0.3089 0.3089 0.6576
Ce 0.3125 0.3125 0.1514
Ce 0.6875 0.6875 0.8486
Ce 0.6911 0.6911 0.3424
Ga 0.2353 0.7647 0.5000
Ga 0.7647 0.2353 0.5000
O 0.0021 0.0021 0.3116
O 0.0938 0.5960 0.9264
O 0.0953 0.5679 0.4113
O 0.4040 0.9062 0.0736
O 0.4321 0.9047 0.5887
O 0.4983 0.4983 0.6822
O 0.5017 0.5017 0.3178
O 0.5679 0.0953 0.4113
O 0.5960 0.0938 0.9264
O 0.9047 0.4321 0.5887
O 0.9062 0.4040 0.0736
O 0.9979 0.9979 0.6884
CELL_PARAMETERS angstrom
6.3169 -2.9623 0.0000
6.3169 2.9623 0.0000
-2.1620 0.0000 7.0879
```



11.
DFT (GGA-PBE) results for crystalline CePaGaO6 at its relaxed geometry. Values from VASP.

- SG = P4_2nm
- VASP energy (eV per atom) = -8.28
- uncorrected formation energy (eV/atom) = -2.922

Quantum ESPRESSO input file:
```
&SYSTEM
  ibrav = 0, nat = 18, ntyp = 4
/
ATOMIC_SPECIES
Ce 140.12 Ce.upf
Pa 231.04 Pa.upf
Ga 69.72 Ga.upf
O 16.00 O.upf
ATOMIC_POSITIONS crystal
Ce 0.0000 0.0000 0.0000
Ce 0.5000 0.5000 0.5000
Pa 0.0000 0.0000 0.6643
Pa 0.5000 0.5000 0.1643
Ga 0.0000 0.0000 0.3307
Ga 0.5000 0.5000 0.8307
O 0.1829 0.1829 0.4867
O 0.1898 0.1898 0.1806
O 0.2019 0.2019 0.8249
O 0.2981 0.7019 0.3249
O 0.3102 0.6898 0.6806
O 0.3171 0.6829 0.9867
O 0.6829 0.3171 0.9867
O 0.6898 0.3102 0.6806
O 0.7019 0.2981 0.3249
O 0.7981 0.7981 0.8249
O 0.8102 0.8102 0.1806
O 0.8171 0.8171 0.4867
CELL_PARAMETERS angstrom
4.9805 0.0000 0.0000
0.0000 4.9805 0.0000
0.0000 0.0000 10.2061
```



12.
DFT (GGA-PBE) results for crystalline CePaGa2O8 at its relaxed geometry. Values from VASP.

- SG = I-4
- VASP energy (eV per atom) = -7.66
- uncorrected formation energy (eV/atom) = -2.560

Quantum ESPRESSO input file:
```
&SYSTEM
  ibrav = 0, nat = 12, ntyp = 4
/
ATOMIC_SPECIES
Ce 140.12 Ce.upf
Pa 231.04 Pa.upf
Ga 69.72 Ga.upf
O 16.00 O.upf
ATOMIC_POSITIONS crystal
Ce 0.0000 0.0000 0.0000
Pa 0.2500 0.7500 0.5000
Ga 0.5000 0.5000 0.0000
Ga 0.7500 0.2500 0.5000
O 0.0062 0.0631 0.4089
O 0.2481 0.6810 0.0999
O 0.3190 0.4189 0.5670
O 0.4027 0.9938 0.0568
O 0.5811 0.1481 0.9001
O 0.6541 0.5973 0.5911
O 0.8519 0.7519 0.4330
O 0.9369 0.3459 0.9432
CELL_PARAMETERS angstrom
-2.5947 2.5947 5.5273
2.5947 -2.5947 5.5273
2.5947 2.5947 -5.5273
```



> Among the records above, which one has the lowest VASP energy?

CePuNpGa



> Which value of VASP energy does entry 9 give?

-7.33 eV per atom



> Among the records above, which one has the highest VASP energy?

Ce4Ga2O



> What is the VASP energy in the eighth record?

-7.18 eV per atom